(1)
VASP calculation (PBE-GGA) on an optimized crystal structure of LaAl2Zn.

For the density, the calculation gives 4.2 g/cm3. The total energy is -3.50 eV per atom. As for the crystal system: tetragonal. The calculation puts the formation energy from the elements at -83 meV per atom.

Geometry as CIF:
```
data_LaAl2Zn
_cell_length_a 4.8150
_cell_length_b 4.8150
_cell_length_c 9.4334
_cell_angle_alpha 75.21
_cell_angle_beta 75.21
_cell_angle_gamma 90.00
_symmetry_space_group_name_H-M 'P 1'
_symmetry_Int_Tables_number 1
loop_
_symmetry_equiv_pos_as_xyz
'x,y,z'
loop_
_atom_site_label
_atom_site_type_symbol
_atom_site_fract_x
_atom_site_fract_y
_atom_site_fract_z
Zn1 Zn 0.5000 0.5000 0.0000
Zn2 Zn 0.2500 0.7500 0.5000
Al1 Al 0.4509 0.1250 0.2500
Al2 Al 0.2991 0.6250 0.2500
Al3 Al 0.3750 0.5491 0.7500
Al4 Al 0.8750 0.7009 0.7500
La1 La 0.0000 0.0000 0.0000
La2 La 0.7500 0.2500 0.5000
```



(2)
VASP calculation (PBE-GGA) on an optimized crystal structure of MgTc2Ag.

For the density, the calculation gives 8.5 g/cm3. The total energy is -5.94 eV per atom. As for the crystal system: monoclinic. The calculation puts the formation energy from the elements at 353 meV per atom.

Geometry as CIF:
```
data_MgTc2Ag
_cell_length_a 4.8070
_cell_length_b 2.6924
_cell_length_c 5.0409
_cell_angle_alpha 80.95
_cell_angle_beta 90.00
_cell_angle_gamma 90.00
_symmetry_space_group_name_H-M 'P 1'
_symmetry_Int_Tables_number 1
loop_
_symmetry_equiv_pos_as_xyz
'x,y,z'
loop_
_atom_site_label
_atom_site_type_symbol
_atom_site_fract_x
_atom_site_fract_y
_atom_site_fract_z
Ag1 Ag 0.5000 0.2500 0.2500
Mg1 Mg 0.5000 0.7500 0.7500
Tc1 Tc 0.0000 0.0559 0.9859
Tc2 Tc 0.0000 0.4441 0.5141
```



(3)
VASP calculation (PBE-GGA) on an optimized crystal structure of Pm4Bi.

For the density, the calculation gives 6.1 g/cm3. The total energy is -4.35 eV per atom. As for the crystal system: cubic. The calculation puts the formation energy from the elements at 222 meV per atom.

Geometry as CIF:
```
data_Pm4Bi
_cell_length_a 5.9784
_cell_length_b 5.9784
_cell_length_c 5.9784
_cell_angle_alpha 90.00
_cell_angle_beta 90.00
_cell_angle_gamma 90.00
_symmetry_space_group_name_H-M 'P 1'
_symmetry_Int_Tables_number 1
loop_
_symmetry_equiv_pos_as_xyz
'x,y,z'
loop_
_atom_site_label
_atom_site_type_symbol
_atom_site_fract_x
_atom_site_fract_y
_atom_site_fract_z
Bi1 Bi 0.5000 0.5000 0.5000
Pm1 Pm 0.0000 0.0000 0.0000
Pm2 Pm 0.5000 0.0000 0.5000
Pm3 Pm 0.0000 0.5000 0.5000
Pm4 Pm 0.5000 0.5000 0.0000
```